PBE-GGA KDyHgCl6, relaxed; raw formation energy = -1.6595 eV/atom; uncorrected energy = -32.02 eV per formula unit
1.0
6.989 0.000 0.000
-3.495 6.053 0.000
0.000 0.000 13.831
K Dy Hg Cl
2 2 2 12
direct
0.000 0.000 0.000
0.000 0.000 0.500
0.667 0.333 0.250
0.333 0.667 0.750
0.333 0.667 0.250
0.667 0.333 0.750
0.633 0.626 0.139
0.993 0.367 0.139
0.367 0.993 0.639
0.007 0.633 0.861
0.374 0.367 0.361
0.993 0.626 0.361
0.626 0.993 0.861
0.633 0.007 0.361
0.007 0.374 0.639
0.374 0.007 0.139
0.626 0.633 0.639
0.367 0.374 0.861